1.
This record from Alexandria via LeMat-Bulk describes Tc3W5 after structural relaxation. The functional is GGA-PBEsol.

Output
energy of formation from the pure elements	0.067	eV/atom
total DFT energy (no corrections)	-102.302	eV for the cell shown
Fermi-level density of states	0.749	states/eV/atom

```
8
Lattice="3.1223 -4.3919 0.0000 3.1223 4.3919 0.0000 0.0000 0.0000 4.4003" Properties=species:S:1:pos:R:3 pbc="T T T"
Tc 0.0000 0.0000 0.0000
Tc 3.1223 2.2363 2.2001
Tc 3.1223 -2.2363 2.2001
W 1.5611 2.1959 0.0000
W 1.5773 0.0000 2.2001
W 1.5611 -2.1959 0.0000
W 3.1223 0.0000 0.0000
W 4.6673 0.0000 2.2001
```

2.
This record from Alexandria via LeMat-Bulk describes TcW2 after structural relaxation. The functional is GGA-PBEsol.

Output
energy of formation from the pure elements	0.105	eV/atom
distance to the lowest polymorph of the same formula	38	meV per atom
total DFT energy (no corrections)	-38.566	eV for the cell shown
Fermi-level density of states	0.893	states/eV/atom

```
3
Lattice="4.3864 0.0000 0.0000 -2.1932 3.7987 0.0000 0.0000 0.0000 2.7316" Properties=species:S:1:pos:R:3 pbc="T T T"
Tc 0.0000 0.0000 0.0000
W 0.0000 2.5325 1.8106
W 2.1932 1.2662 0.9210
```

3.
This record from Alexandria via LeMat-Bulk describes TcW3 after structural relaxation. The functional is GGA-PBEsol.

Output
energy of formation from the pure elements	0.077	eV/atom
total DFT energy (no corrections)	-52.383	eV for the cell shown
Fermi-level density of states	0.827	states/eV/atom

```
4
Lattice="1.5620 -2.2251 0.0000 1.5620 2.2251 0.0000 0.0000 0.0000 8.8139" Properties=species:S:1:pos:R:3 pbc="T T T"
Tc 0.0000 0.0000 0.0000
W 0.0000 0.0000 4.4069
W 1.5620 0.0000 2.1711
W 1.5620 0.0000 6.6428
```

4.
This record from Alexandria via LeMat-Bulk describes TcW2 after structural relaxation. The functional is GGA-PBEsol.

Output
energy of formation from the pure elements	0.067	eV/atom
distance to the lowest polymorph of the same formula	0	meV per atom
total DFT energy (no corrections)	-77.361	eV for the cell shown
Fermi-level density of states	0.766	states/eV/atom

```
6
Lattice="1.5621 -6.6028 0.0000 1.5621 6.6028 0.0000 0.0000 0.0000 4.4228" Properties=species:S:1:pos:R:3 pbc="T T T"
Tc 1.5621 5.5379 3.3171
Tc 1.5621 -5.5379 1.1057
W 1.5621 3.3288 1.1057
W 1.5621 1.1121 3.3171
W 1.5621 -1.1121 1.1057
W 1.5621 -3.3288 3.3171
```

5.
This record from Alexandria via LeMat-Bulk describes TcW4 after structural relaxation. The functional is GGA-PBEsol.

Output
energy of formation from the pure elements	0.044	eV/atom
total DFT energy (no corrections)	-66.274	eV for the cell shown
Fermi-level density of states	0.714	states/eV/atom

```
5
Lattice="-3.5051 3.5051 1.5652 3.5051 -3.5051 1.5652 3.5051 3.5051 -1.5652" Properties=species:S:1:pos:R:3 pbc="T T T"
Tc 0.0000 0.0000 0.0000
W 4.2240 1.3955 0.0000
W 1.3955 2.7863 0.0000
W 2.1096 0.7188 1.5652
W -0.7188 2.1096 1.5652
```

6.
This record from Alexandria via LeMat-Bulk describes TcW2 after structural relaxation. The functional is GGA-PBEsol.

Output
energy of formation from the pure elements	0.079	eV/atom
distance to the lowest polymorph of the same formula	12	meV per atom
total DFT energy (no corrections)	-38.646	eV for the cell shown
Fermi-level density of states	0.817	states/eV/atom

```
3
Lattice="-1.5593 1.5593 4.6856 1.5593 -1.5593 4.6856 1.5593 1.5593 -4.6856" Properties=species:S:1:pos:R:3 pbc="T T T"
Tc 0.0000 0.0000 0.0000
W 0.0000 0.0000 3.1128
W 0.0000 0.0000 6.2584
```

7.
This record from Alexandria via LeMat-Bulk describes Tc24W5 after structural relaxation. The functional is GGA-PBEsol.

Output
energy of formation from the pure elements	0.014	eV/atom
total DFT energy (no corrections)	-339.034	eV for the cell shown
Fermi-level density of states	1.097	states/eV/atom

```
29
Lattice="-4.7153 4.7153 4.7153 4.7153 -4.7153 4.7153 4.7153 4.7153 -4.7153" Properties=species:S:1:pos:R:3 pbc="T T T"
Tc 4.3242 1.3402 -1.3402
Tc 4.3242 -1.3402 1.3402
Tc 6.7553 0.8534 -0.8534
Tc 6.7553 -0.8534 0.8534
Tc 2.6752 0.8534 0.8534
Tc 3.8619 3.8619 -2.0400
Tc 3.8619 -2.0400 3.8619
Tc 5.1063 1.3402 1.3402
Tc 1.3402 4.3242 -1.3402
Tc 1.3402 -1.3402 4.3242
Tc 0.8534 2.6752 0.8534
Tc 0.8534 0.8534 2.6752
Tc 3.3751 3.3751 0.3910
Tc 3.3751 0.3910 3.3751
Tc -1.3402 4.3242 1.3402
Tc -1.3402 1.3402 4.3242
Tc 0.8534 6.7553 -0.8534
Tc 0.8534 -0.8534 6.7553
Tc 1.3402 5.1063 1.3402
Tc 1.3402 1.3402 5.1063
Tc 0.3910 3.3751 3.3751
Tc -0.8534 6.7553 0.8534
Tc -0.8534 0.8534 6.7553
Tc -2.0400 3.8619 3.8619
W 0.0000 0.0000 0.0000
W 1.7082 1.7082 -1.7082
W 1.7082 -1.7082 1.7082
W -1.7082 1.7082 1.7082
W 3.0071 3.0071 3.0071
```

8.
This record from Alexandria via LeMat-Bulk describes YTcW2 after structural relaxation. The functional is GGA-PBEsol.

Output
energy of formation from the pure elements	0.610	eV/atom
distance to the lowest polymorph of the same formula	366	meV per atom
total DFT energy (no corrections)	-43.263	eV for the cell shown
Fermi-level density of states	0.800	states/eV/atom

```
4
Lattice="3.8166 0.0000 0.0000 0.0000 3.8166 0.0000 0.0000 0.0000 4.8027" Properties=species:S:1:pos:R:3 pbc="T T T"
Y 0.0000 0.0000 0.0000
Tc 1.9083 1.9083 0.0000
W 0.0000 1.9083 2.4013
W 1.9083 0.0000 2.4013
```

9.
This record from Alexandria via LeMat-Bulk describes YTcW2 after structural relaxation. The functional is GGA-PBEsol.

Output
energy of formation from the pure elements	0.330	eV/atom
distance to the lowest polymorph of the same formula	86	meV per atom
total DFT energy (no corrections)	-44.382	eV for the cell shown
Fermi-level density of states	0.771	states/eV/atom

```
4
Lattice="1.6018 -2.3171 0.0000 1.6018 2.3171 0.0000 0.0000 0.0000 9.2002" Properties=species:S:1:pos:R:3 pbc="T T T"
Y 0.0000 0.0000 0.0000
Tc 1.6018 0.0000 2.4163
W 0.0000 0.0000 4.4657
W 1.6018 0.0000 6.6072
```

10.
This record from Alexandria via LeMat-Bulk describes Y4TcW after structural relaxation. The functional is GGA-PBEsol.

Output
energy of formation from the pure elements	1.272	eV/atom
total DFT energy (no corrections)	-44.732	eV for the cell shown
Fermi-level density of states	1.699	states/eV/atom

```
6
Lattice="0.0000 4.0777 4.0777 4.0777 0.0000 4.0777 4.0777 4.0777 0.0000" Properties=species:S:1:pos:R:3 pbc="T T T"
Y 1.0193 1.0193 1.0193
Y 3.0584 3.0584 1.0193
Y 3.0584 1.0193 3.0584
Y 1.0193 3.0584 3.0584
Tc 4.0777 4.0777 4.0777
W 6.1166 6.1166 6.1166
```

11.
This record from Alexandria via LeMat-Bulk describes YTcW2 after structural relaxation. The functional is GGA-PBEsol.

Output
energy of formation from the pure elements	0.244	eV/atom
distance to the lowest polymorph of the same formula	0	meV per atom
total DFT energy (no corrections)	-44.726	eV for the cell shown
Fermi-level density of states	0.984	states/eV/atom

```
4
Lattice="3.1718 0.0000 0.0000 0.0000 3.1718 0.0000 0.0000 0.0000 7.0171" Properties=species:S:1:pos:R:3 pbc="T T T"
Y 0.0000 0.0000 0.0000
Tc 1.5859 1.5859 2.0188
W 0.0000 0.0000 3.4504
W 1.5859 1.5859 4.9691
```

12.
This record from Alexandria via LeMat-Bulk describes ZnTc2W after structural relaxation. The functional is GGA-PBEsol.

Output
energy of formation from the pure elements	0.066	eV/atom
total DFT energy (no corrections)	-37.659	eV for the cell shown
Fermi-level density of states	0.797	states/eV/atom

```
4
Lattice="3.1404 0.0000 0.0000 0.0000 3.1404 0.0000 0.0000 0.0000 5.7667" Properties=species:S:1:pos:R:3 pbc="T T T"
Zn 0.0000 0.0000 0.0000
Tc 1.5702 1.5702 1.4016
Tc 1.5702 1.5702 4.3651
W 0.0000 0.0000 2.8833
```

13.
This record from Alexandria via LeMat-Bulk describes ZnTcW3 after structural relaxation. The functional is GGA-PBEsol.

Output
energy of formation from the pure elements	2.061	eV/atom
total DFT energy (no corrections)	-43.967	eV for the cell shown
Fermi-level density of states	1.090	states/eV/atom

```
5
Lattice="4.6424 0.0000 0.0000 0.0000 4.6424 0.0000 0.0000 0.0000 4.6424" Properties=species:S:1:pos:R:3 pbc="T T T"
Zn 0.0000 0.0000 0.0000
Tc 2.3212 2.3212 2.3212
W 0.0000 2.3212 2.3212
W 2.3212 0.0000 2.3212
W 2.3212 2.3212 0.0000
```